# BaS6Cl2

Crystalline BaS6Cl2 at its relaxed geometry (PBE-GGA, the Alexandria database).

Geometry as CIF:
```
data_BaS6Cl2
_space_group_name_H-M_alt 'P -1'
_space_group_IT_number 2
_cell_length_a 4.6728
_cell_length_b 8.2929
_cell_length_c 8.3122
_cell_angle_alpha 102.79
_cell_angle_beta 96.14
_cell_angle_gamma 96.03
loop_
_space_group_symop_operation_xyz
'x,y,z'
'-x,-y,-z'
loop_
_atom_site_label
_atom_site_fract_x
_atom_site_fract_y
_atom_site_fract_z
_atom_site_occupancy
Ba1 0.0000 0.0000 0.0000 1
S1 0.0698 0.2846 0.5370 1
S2 0.0706 0.5372 0.2855 1
S3 0.1516 0.6835 0.6834 1
Cl1 0.4994 0.1486 0.8510 1
```

Calculated volume, Å³ per cell: 310
ρ, g/cm³: 2.1
Formation energy from raw total energies, meV per atom: -707
Crystal system: triclinic

---

# HgSbTeI2

Crystalline HgSbTeI2 at its relaxed geometry (PBE-GGA, the Alexandria database).

Geometry as CIF:
```
data_HgSbTeI2
_space_group_name_H-M_alt 'P 4/m m m'
_space_group_IT_number 123
_space_group_name_Hall '-P 4 2'
_cell_length_a 6.0566
_cell_length_b 6.0566
_cell_length_c 5.7931
_cell_angle_alpha 90.00
_cell_angle_beta 90.00
_cell_angle_gamma 90.00
loop_
_atom_site_label
_atom_site_fract_x
_atom_site_fract_y
_atom_site_fract_z
_atom_site_occupancy
Hg1 0.0000 0.0000 0.0000 1
Sb1 0.5000 0.5000 0.5000 1
Te1 0.5000 0.5000 0.0000 1
I1 0.0000 0.5000 0.5000 1
```

Calculated volume, Å³ per cell: 213
ρ, g/cm³: 5.5
Formation energy from raw total energies, meV per atom: 106
Crystal system: tetragonal

---

# La2Ni2Hg3

Crystalline La2Ni2Hg3 at its relaxed geometry (PBE-GGA, the Alexandria database).

Geometry as CIF:
```
data_La2Ni2Hg3
_space_group_name_H-M_alt 'C m m m'
_space_group_IT_number 65
_space_group_name_Hall '-C 2 2'
_cell_length_a 4.1798
_cell_length_b 20.4385
_cell_length_c 3.8814
_cell_angle_alpha 90.00
_cell_angle_beta 90.00
_cell_angle_gamma 90.00
loop_
_atom_site_label
_atom_site_fract_x
_atom_site_fract_y
_atom_site_fract_z
_atom_site_occupancy
La1 0.0000 0.1699 0.0000 1
Ni1 0.0000 0.2836 0.5000 1
Hg1 0.0000 0.0000 0.0000 1
Hg2 0.0000 0.4226 0.5000 1
```

Calculated volume, Å³ per cell: 332
E_form, eV/f.u.: -2.46
ρ, g/cm³: 10.0
Crystal system: orthorhombic